Computed, not measured: crystalline LiRuW2 at its relaxed geometry at the PBE-GGA level of DFT.

Calculated values
Total energy in eV/atom: -8.738
Crystal system: tetragonal
Space group: P4/mmm (123)

Structure (POSCAR):
```
LiRuW2
1.0
3.085 0.000 0.000
0.000 3.085 0.000
0.000 0.000 5.958
Li Ru W
1 1 2
Direct
0.000 0.000 0.000
0.000 0.000 0.500
0.500 0.500 0.223
0.500 0.500 0.777
```